La2SiSn | GGA-PBE | relaxed

## Properties
The calculation puts the electronic total energy at -5.57 eV/atom. The uncorrected formation energy comes out at -2.99 eV per formula unit. Its calculated density is 6.11 g cm⁻³.

Cell lengths 4.683, 6.938, 7.476 Å; angles 90.00, 108.25, 90.00 degrees
Fractional positions:
1 Si 0.305 0.318 0.609
2 Sn 0.105 0.792 0.210
3 Sn 0.105 0.208 0.210
4 La 0.470 0.000 0.940
5 La 0.923 0.500 0.846
6 La 0.758 0.000 0.516
7 La 0.666 0.500 0.332
8 Si 0.305 0.682 0.609

=====

La2SiSn | GGA-PBE | relaxed

## Properties
The calculation puts the electronic total energy at -5.55 eV/atom. The uncorrected formation energy comes out at -2.94 eV per formula unit. Its calculated density is 6.07 g cm⁻³.

Cell lengths 4.208, 6.291, 9.502 Å; angles 112.57, 90.00, 90.00 degrees
Fractional positions:
1 Si 0.750 0.664 0.792
2 La 0.250 0.783 0.061
3 La 0.750 0.228 0.421
4 Sn 0.250 0.342 0.712
5 La 0.750 0.217 0.939
6 Sn 0.750 0.658 0.288
7 La 0.250 0.772 0.579
8 Si 0.250 0.336 0.208

=====

La3SiSn | GGA-PBE | relaxed

## Properties
The energy above the most stable polymorph in this dataset comes out at 139 meV per atom. The calculation puts the electronic total energy at -5.25 eV/atom. The uncorrected formation energy comes out at -2.03 eV per formula unit. Its calculated density is 5.08 g cm⁻³.

Cell lengths 5.691, 5.691, 5.691 Å; angles 90.00, 90.00, 90.00 degrees
Fractional positions:
1 Si 0.000 0.000 0.000
2 La 0.500 0.000 0.000
3 Sn 0.500 0.500 0.500
4 La 0.000 0.500 0.000
5 La 0.000 0.000 0.500

=====

La4SiSn | GGA-PBE | relaxed

## Properties
The energy above the most stable polymorph in this dataset comes out at 0 meV per atom. The calculation puts the electronic total energy at -5.41 eV/atom. The uncorrected formation energy comes out at -3.29 eV per formula unit. Its calculated density is 6.31 g cm⁻³.

Cell lengths 5.915, 7.024, 9.863 Å; angles 90.00, 115.63, 90.00 degrees
Fractional positions:
1 La 0.080 0.526 0.751
2 La 0.386 0.750 0.548
3 Si 0.796 0.750 0.449
4 Si 0.204 0.250 0.551
5 La 0.920 0.474 0.249
6 La 0.080 0.974 0.751
7 La 0.663 0.250 0.873
8 La 0.920 0.026 0.249
9 La 0.337 0.750 0.127
10 Sn 0.692 0.750 0.918
11 La 0.614 0.250 0.452
12 Sn 0.308 0.250 0.082